(1)
Here is a relaxed Zr5P7Pd9 crystal from Alexandria. Energies are from PBE.

Lattice parameters (Å, degrees): 3.841 13.722 13.722 152.41 90.00 90.00
Sites, in units of the cell vectors:
1 Zr 0.000 0.000 0.000
2 Zr 0.000 0.294 0.471
3 Zr 0.000 0.471 0.294
4 Zr 0.500 0.018 0.560
5 Zr 0.500 0.560 0.018
6 P 0.000 0.290 0.862
7 P 0.000 0.601 0.601
8 P 0.000 0.862 0.290
9 P 0.500 0.029 0.166
10 P 0.500 0.166 0.029
11 P 0.500 0.443 0.731
12 P 0.500 0.731 0.443
13 Pd 0.000 0.263 0.656
14 Pd 0.000 0.656 0.263
15 Pd 0.000 0.696 0.974
16 Pd 0.000 0.974 0.696
17 Pd 0.500 0.016 0.332
18 Pd 0.500 0.332 0.016
19 Pd 0.500 0.355 0.355
20 Pd 0.500 0.673 0.790
21 Pd 0.500 0.790 0.673

- Formation energy from the elements: -90 kJ per mole of atoms
- Fermi-level density of states: 8.75 states/eV/f.u.

=====

(2)
Here is a relaxed ZrPPd2 crystal from Alexandria. Energies are from PBE.

Lattice parameters (Å, degrees): 9.759 9.759 9.759 157.29 157.29 32.33
Sites, in units of the cell vectors:
1 Zr 0.000 0.000 0.000
2 Zr 0.750 0.250 0.500
3 P 0.250 0.750 0.500
4 P 0.500 0.500 0.000
5 Pd 0.137 0.625 0.012
6 Pd 0.375 0.387 0.512
7 Pd 0.613 0.125 0.988
8 Pd 0.875 0.863 0.488

- Formation energy from the elements: -57 kJ per mole of atoms
- Fermi-level density of states: 1.39 states/eV/f.u.

=====

(3)
Here is a relaxed ZrP3Pd crystal from Alexandria. Energies are from PBE.

Lattice parameters (Å, degrees): 4.963 4.963 4.963 90.00 90.00 90.00
Sites, in units of the cell vectors:
1 Zr 0.000 0.000 0.000
2 P 0.000 0.000 0.500
3 P 0.000 0.500 0.000
4 P 0.500 0.000 0.000
5 Pd 0.500 0.500 0.500

- Formation energy from the elements: 63 kJ per mole of atoms
- ΔE to the lowest computed polymorph: 243 meV per atom
- Fermi-level density of states: 4.53 states/eV/f.u.

=====

(4)
Here is a relaxed ZrP2Pd4 crystal from Alexandria. Energies are from PBE.

Lattice parameters (Å, degrees): 7.501 7.501 3.922 90.00 90.00 90.00
Sites, in units of the cell vectors:
1 Zr 0.000 0.000 0.000
2 Zr 0.500 0.500 0.500
3 P 0.244 0.244 0.500
4 P 0.256 0.744 0.000
5 P 0.744 0.256 0.000
6 P 0.756 0.756 0.500
7 Pd 0.060 0.686 0.500
8 Pd 0.186 0.440 0.000
9 Pd 0.314 0.940 0.500
10 Pd 0.440 0.186 0.000
11 Pd 0.560 0.814 0.000
12 Pd 0.686 0.060 0.500
13 Pd 0.814 0.560 0.000
14 Pd 0.940 0.314 0.500

- Formation energy from the elements: -63 kJ per mole of atoms
- Fermi-level density of states: 5.52 states/eV/f.u.

=====

(5)
Here is a relaxed Zr2PPd8 crystal from Alexandria. Energies are from PBE.

Lattice parameters (Å, degrees): 7.728 7.728 7.728 144.88 136.79 56.85
Sites, in units of the cell vectors:
1 Zr 0.189 0.189 0.000
2 Zr 0.811 0.811 0.000
3 P 0.500 0.500 0.000
4 Pd 0.115 0.372 0.743
5 Pd 0.256 0.000 0.256
6 Pd 0.309 0.809 0.500
7 Pd 0.372 0.628 0.743
8 Pd 0.628 0.372 0.257
9 Pd 0.691 0.191 0.500
10 Pd 0.744 0.000 0.744
11 Pd 0.885 0.628 0.257

- Formation energy from the elements: -65 kJ per mole of atoms
- Fermi-level density of states: 3.11 states/eV/f.u.

=====

(6)
Here is a relaxed PmP5 crystal from Alexandria. Energies are from PBE.

Lattice parameters (Å, degrees): 6.490 6.490 3.515 90.00 90.00 135.09
Sites, in units of the cell vectors:
1 Pm 0.000 0.000 0.000
2 P 0.230 0.770 0.500
3 P 0.358 0.642 0.000
4 P 0.500 0.500 0.500
5 P 0.642 0.358 0.000
6 P 0.770 0.230 0.500

- Formation energy from the elements: -25 kJ per mole of atoms
- ΔE to the lowest computed polymorph: 284 meV per atom
- Fermi-level density of states: 1.64 states/eV/f.u.

=====

Which value of Fermi-level density of states does entry 6 give?
1.64 states/eV/f.u.

=====

Which of these has the lowest Fermi-level density of states?
ZrPPd2

=====

Number 1 is which compound?
Zr5P7Pd9

=====

Look up the Fermi-level density of states of the third one.
4.53 states/eV/f.u.